Entry 1:
BeSe3 | PBE-GGA | optimized geometry

a b c (Å): 3.126 3.126 7.752
angles (deg): 90.00 90.00 90.00
Space group P4/mmm (No. 123)
One atom of each set of equivalent atoms:
Be 0.000 0.000 0.000
Se 0.000 0.000 0.500
Se 0.500 0.500 0.162

Crystal system: tetragonal
Raw formation energy: 0.33 eV per atom
Energy relative to the lowest polymorph listed for this composition: 37.9 kJ/mol of atoms

=====

Entry 2:
KYAg2Ru | PBE-GGA | optimized geometry

a b c (Å): 5.740 5.740 4.838
angles (deg): 90.00 90.00 90.00
Space group P4/mmm (No. 123)
One atom of each set of equivalent atoms:
K 0.000 0.000 0.000
Y 0.500 0.500 0.500
Ag 0.000 0.500 0.500
Ru 0.500 0.500 0.000

Crystal system: tetragonal
E_form: 0.808 eV per atom

=====

Entry 3:
VRe2Au | PBE-GGA | optimized geometry

a b c (Å): 3.822 3.822 18.702
angles (deg): 90.00 90.00 90.00
Space group I-42d (No. 122)
One atom of each set of equivalent atoms:
V 0.000 0.000 0.000
Re 0.202 0.250 0.125
Au 0.000 0.000 0.500

Crystal system: tetragonal
Energy relative to the lowest polymorph listed for this composition: 25.6 kJ/mol of atoms
E_form: 0.734 eV per atom

=====

Entry 4:
Te4RuSe | PBE-GGA | optimized geometry

a b c (Å): 8.732 8.732 8.732
angles (deg): 90.00 90.00 90.00
Space group F-43m (No. 216)
One atom of each set of equivalent atoms:
Te 0.125 0.125 0.125
Ru 0.250 0.250 0.750
Se 0.000 0.000 0.500

Crystal system: cubic
Raw formation energy: 1.10 eV per atom

=====

Spin magnetization (μB per cell)
0.00, 0.00, 5.42, 10.99
V (Å³ per atom)
18.94, 31.88, 17.08, 27.74